Here is crystalline AcNd4Er15 at its relaxed geometry from Alexandria. Energies are from PBE-GGA.

Cell: 5.052 5.052 25.104 Å, 90.00 90.00 90.00°
Positions (direct):
Ac 0.000 0.000 0.000
Nd 0.000 0.000 0.202
Nd 0.000 0.000 0.401
Nd 0.000 0.000 0.599
Nd 0.000 0.000 0.798
Er 0.000 0.500 0.104
Er 0.000 0.500 0.302
Er 0.000 0.500 0.500
Er 0.000 0.500 0.698
Er 0.000 0.500 0.896
Er 0.500 0.000 0.104
Er 0.500 0.000 0.302
Er 0.500 0.000 0.500
Er 0.500 0.000 0.698
Er 0.500 0.000 0.896
Er 0.500 0.500 0.000
Er 0.500 0.500 0.203
Er 0.500 0.500 0.401
Er 0.500 0.500 0.599
Er 0.500 0.500 0.797

=====

Here is crystalline Ac6Nd3Er2 at its relaxed geometry from Alexandria. Energies are from PBE-GGA.

Cell: 6.617 8.538 8.541 Å, 107.17 97.45 104.92°
Positions (direct):
Ac 0.054 0.181 0.403
Ac 0.136 0.549 0.231
Ac 0.322 0.265 0.870
Ac 0.678 0.735 0.130
Ac 0.864 0.451 0.769
Ac 0.946 0.819 0.597
Nd 0.407 0.644 0.686
Nd 0.500 0.000 0.500
Nd 0.593 0.356 0.314
Er 0.232 0.914 0.046
Er 0.768 0.086 0.954

=====

Here is crystalline AcNd2Er at its relaxed geometry from Alexandria. Energies are from PBE-GGA.

Values from the calculation:
Polymorph energy (0 for the lowest one) in meV per atom: 133

Cell: 5.919 5.919 5.919 Å, 60.00 60.00 60.00°
Positions (direct):
Ac 0.000 0.000 0.000
Nd 0.250 0.250 0.250
Nd 0.750 0.750 0.750
Er 0.500 0.500 0.500

=====

Here is crystalline AcNd10Er6 at its relaxed geometry from Alexandria. Energies are from PBE-GGA.

Cell: 9.901 9.901 6.958 Å, 90.00 90.00 120.00°
Positions (direct):
Ac 0.000 0.000 0.000
Nd 0.000 0.284 0.328
Nd 0.000 0.716 0.672
Nd 0.284 0.000 0.328
Nd 0.284 0.284 0.672
Nd 0.333 0.667 0.000
Nd 0.333 0.667 0.500
Nd 0.667 0.333 0.000
Nd 0.667 0.333 0.500
Nd 0.716 0.000 0.672
Nd 0.716 0.716 0.328
Er 0.000 0.368 0.817
Er 0.000 0.632 0.183
Er 0.368 0.000 0.817
Er 0.368 0.368 0.183
Er 0.632 0.000 0.183
Er 0.632 0.632 0.817

=====

Here is crystalline AcNd2Er at its relaxed geometry from Alexandria. Energies are from PBE-GGA.

Values from the calculation:
Polymorph energy (0 for the lowest one) in meV per atom: 6

Cell: 6.389 6.389 6.389 Å, 131.10 131.10 71.65°
Positions (direct):
Ac 0.000 0.000 0.000
Nd 0.250 0.750 0.500
Nd 0.500 0.500 0.000
Er 0.750 0.250 0.500

=====

Here is crystalline AcNd6Er5 at its relaxed geometry from Alexandria. Energies are from PBE-GGA.

Cell: 6.305 6.305 11.987 Å, 95.04 95.04 120.00°
Positions (direct):
Ac 0.000 0.000 0.000
Nd 0.085 0.422 0.255
Nd 0.251 0.251 0.745
Nd 0.422 0.085 0.255
Nd 0.578 0.915 0.745
Nd 0.749 0.749 0.255
Nd 0.915 0.578 0.745
Er 0.167 0.833 0.500
Er 0.333 0.667 0.000
Er 0.500 0.500 0.500
Er 0.667 0.333 0.000
Er 0.833 0.167 0.500

=====

Here is crystalline Ac14NdEr at its relaxed geometry from Alexandria. Energies are from PBE-GGA.

Cell: 11.212 7.883 7.883 Å, 90.02 90.00 90.00°
Positions (direct):
Ac 0.000 0.000 0.000
Ac 0.000 0.001 0.499
Ac 0.000 0.499 0.001
Ac 0.000 0.499 0.499
Ac 0.255 0.749 0.749
Ac 0.256 0.251 0.749
Ac 0.256 0.749 0.251
Ac 0.258 0.251 0.251
Ac 0.500 0.501 0.999
Ac 0.500 0.999 0.501
Ac 0.742 0.251 0.251
Ac 0.744 0.251 0.749
Ac 0.744 0.749 0.251
Ac 0.745 0.749 0.749
Nd 0.500 0.999 0.999
Er 0.500 0.500 0.500

=====

Here is crystalline AcNd14Er at its relaxed geometry from Alexandria. Energies are from PBE-GGA.

Cell: 11.979 7.434 7.434 Å, 59.94 90.00 90.00°
Positions (direct):
Ac 0.000 0.000 0.000
Nd 0.000 0.504 0.999
Nd 0.000 0.999 0.504
Nd 0.247 0.335 0.335
Nd 0.251 0.337 0.834
Nd 0.251 0.834 0.337
Nd 0.254 0.834 0.834
Nd 0.500 0.002 0.002
Nd 0.500 0.002 0.500
Nd 0.500 0.500 0.002
Nd 0.500 0.501 0.501
Nd 0.746 0.834 0.834
Nd 0.749 0.337 0.834
Nd 0.749 0.834 0.337
Nd 0.753 0.335 0.335
Er 0.000 0.503 0.503

=====

Here is crystalline AcNd2Er at its relaxed geometry from Alexandria. Energies are from PBE-GGA.

Values from the calculation:
Polymorph energy (0 for the lowest one) in meV per atom: 0

Cell: 5.229 5.229 5.278 Å, 90.00 90.00 90.00°
Positions (direct):
Ac 0.000 0.000 0.000
Nd 0.000 0.500 0.500
Nd 0.500 0.000 0.500
Er 0.500 0.500 0.000

=====

Here is crystalline Ac2Nd3Er3 at its relaxed geometry from Alexandria. Energies are from PBE-GGA.

Cell: 9.019 9.019 17.519 Å, 90.00 90.00 155.57°
Positions (direct):
Ac 0.248 0.752 0.608
Ac 0.248 0.752 0.892
Ac 0.752 0.248 0.108
Ac 0.752 0.248 0.392
Nd 0.093 0.907 0.041
Nd 0.093 0.907 0.459
Nd 0.113 0.887 0.750
Nd 0.887 0.113 0.250
Nd 0.907 0.093 0.541
Nd 0.907 0.093 0.959
Er 0.089 0.911 0.250
Er 0.458 0.542 0.118
Er 0.458 0.542 0.382
Er 0.542 0.458 0.618
Er 0.542 0.458 0.882
Er 0.911 0.089 0.750

=====

Here is crystalline Ac8Nd2Er3 at its relaxed geometry from Alexandria. Energies are from PBE-GGA.

Cell: 11.293 11.293 6.106 Å, 90.00 90.00 135.93°
Positions (direct):
Ac 0.126 0.874 0.000
Ac 0.192 0.398 0.500
Ac 0.326 0.674 0.000
Ac 0.398 0.192 0.500
Ac 0.602 0.808 0.500
Ac 0.674 0.326 0.000
Ac 0.808 0.602 0.500
Ac 0.874 0.126 0.000
Nd 0.238 0.762 0.500
Nd 0.762 0.238 0.500
Er 0.000 0.000 0.500
Er 0.297 0.297 0.000
Er 0.703 0.703 0.000

=====

Here is crystalline AcNdEr at its relaxed geometry from Alexandria. Energies are from PBE-GGA.

Values from the calculation:
Polymorph energy (0 for the lowest one) in meV per atom: 19

Cell: 10.164 10.164 3.692 Å, 90.00 90.00 120.00°
Positions (direct):
Ac 0.000 0.306 0.000
Ac 0.306 0.000 0.000
Ac 0.694 0.694 0.000
Nd 0.000 0.640 0.500
Nd 0.360 0.360 0.500
Nd 0.640 0.000 0.500
Er 0.000 0.000 0.500
Er 0.333 0.667 0.000
Er 0.667 0.333 0.000

=====

Here is crystalline AcNd2Er at its relaxed geometry from Alexandria. Energies are from PBE-GGA.

Values from the calculation:
Polymorph energy (0 for the lowest one) in meV per atom: 202

Cell: 12.987 12.987 12.987 Å, 16.13 16.13 16.13°
Positions (direct):
Ac 0.000 0.000 0.000
Nd 0.413 0.413 0.413
Nd 0.587 0.587 0.587
Er 0.500 0.500 0.500

=====

Here is crystalline Ac15Nd4Er at its relaxed geometry from Alexandria. Energies are from PBE-GGA.

Cell: 5.533 5.533 27.550 Å, 90.00 90.00 90.00°
Positions (direct):
Ac 0.000 0.000 0.000
Ac 0.000 0.000 0.199
Ac 0.000 0.000 0.400
Ac 0.000 0.000 0.600
Ac 0.000 0.000 0.801
Ac 0.000 0.500 0.098
Ac 0.000 0.500 0.299
Ac 0.000 0.500 0.500
Ac 0.000 0.500 0.701
Ac 0.000 0.500 0.902
Ac 0.500 0.000 0.098
Ac 0.500 0.000 0.299
Ac 0.500 0.000 0.500
Ac 0.500 0.000 0.701
Ac 0.500 0.000 0.902
Nd 0.500 0.500 0.199
Nd 0.500 0.500 0.400
Nd 0.500 0.500 0.600
Nd 0.500 0.500 0.801
Er 0.500 0.500 0.000

=====

Here is crystalline Ac5Nd2Er2 at its relaxed geometry from Alexandria. Energies are from PBE-GGA.

Cell: 6.582 6.625 8.562 Å, 82.46 74.80 80.30°
Positions (direct):
Ac 0.000 0.000 0.000
Ac 0.324 0.665 0.667
Ac 0.437 0.892 0.227
Ac 0.563 0.108 0.773
Ac 0.676 0.335 0.333
Nd 0.223 0.450 0.116
Nd 0.777 0.550 0.884
Er 0.108 0.230 0.551
Er 0.892 0.770 0.449

=====

Here is crystalline AcNd2Er6 at its relaxed geometry from Alexandria. Energies are from PBE-GGA.

Values from the calculation:
Polymorph energy (0 for the lowest one) in meV per atom: 752

Cell: 8.072 8.072 11.345 Å, 90.00 90.00 90.00°
Positions (direct):
Ac 0.000 0.000 0.000
Ac 0.500 0.500 0.500
Nd 0.000 0.000 0.276
Nd 0.000 0.000 0.724
Nd 0.500 0.500 0.224
Nd 0.500 0.500 0.776
Er 0.164 0.164 0.500
Er 0.249 0.751 0.314
Er 0.249 0.751 0.686
Er 0.251 0.251 0.186
Er 0.251 0.251 0.814
Er 0.336 0.664 0.000
Er 0.664 0.336 0.000
Er 0.749 0.749 0.186
Er 0.749 0.749 0.814
Er 0.751 0.249 0.314
Er 0.751 0.249 0.686
Er 0.836 0.836 0.500

=====

Here is crystalline AcNd6Er2 at its relaxed geometry from Alexandria. Energies are from PBE-GGA.

Values from the calculation:
Polymorph energy (0 for the lowest one) in meV per atom: 0

Cell: 12.238 12.238 12.238 Å, 152.51 131.60 56.56°
Positions (direct):
Ac 0.250 0.250 0.000
Ac 0.750 0.750 0.000
Nd 0.005 0.339 0.668
Nd 0.079 0.079 0.000
Nd 0.171 0.839 0.333
Nd 0.329 0.662 0.668
Nd 0.421 0.421 0.000
Nd 0.495 0.162 0.333
Nd 0.505 0.838 0.667
Nd 0.579 0.579 0.000
Nd 0.671 0.338 0.332
Nd 0.829 0.161 0.667
Nd 0.921 0.921 0.000
Nd 0.995 0.661 0.332
Er 0.167 0.499 0.665
Er 0.333 0.999 0.332
Er 0.667 0.001 0.668
Er 0.833 0.501 0.335

=====

Here is crystalline AcNdEr4 at its relaxed geometry from Alexandria. Energies are from PBE-GGA.

Values from the calculation:
Polymorph energy (0 for the lowest one) in meV per atom: 20

Cell: 8.552 8.552 6.707 Å, 109.77 109.77 102.50°
Positions (direct):
Ac 0.072 0.928 0.750
Ac 0.928 0.072 0.250
Nd 0.191 0.809 0.250
Nd 0.809 0.191 0.750
Er 0.153 0.520 0.754
Er 0.266 0.418 0.259
Er 0.418 0.266 0.759
Er 0.480 0.847 0.746
Er 0.520 0.153 0.254
Er 0.582 0.734 0.241
Er 0.734 0.582 0.741
Er 0.847 0.480 0.246

=====

Here is crystalline AcNd6Er at its relaxed geometry from Alexandria. Energies are from PBE-GGA.

Cell: 5.230 5.230 10.451 Å, 90.00 90.00 90.00°
Positions (direct):
Ac 0.000 0.000 0.000
Nd 0.000 0.500 0.258
Nd 0.000 0.500 0.742
Nd 0.500 0.000 0.258
Nd 0.500 0.000 0.742
Nd 0.500 0.500 0.000
Nd 0.500 0.500 0.500
Er 0.000 0.000 0.500

=====

Here is crystalline AcNdEr at its relaxed geometry from Alexandria. Energies are from PBE-GGA.

Values from the calculation:
Polymorph energy (0 for the lowest one) in meV per atom: 4

Cell: 6.556 12.115 6.287 Å, 90.00 118.47 90.00°
Positions (direct):
Ac 0.171 0.133 0.156
Ac 0.171 0.367 0.656
Ac 0.829 0.633 0.344
Ac 0.829 0.867 0.844
Nd 0.188 0.615 0.011
Nd 0.188 0.885 0.511
Nd 0.812 0.115 0.489
Nd 0.812 0.385 0.989
Er 0.483 0.616 0.658
Er 0.483 0.884 0.158
Er 0.517 0.116 0.842
Er 0.517 0.384 0.342

=====

Calculated uncorrected energy in order - -4.548 -4.321 -4.385 -4.521 -4.513 -4.598 -4.151 -4.676 -4.518 -4.372 -4.092 -4.408 -4.316 -4.236 -4.301 -3.725 -4.595 -4.457 -4.633 -4.423 eV/atom
Calculated density of states at the Fermi level in order - 1.439 1.626 2.557 1.603 1.513 1.205 1.791 1.831 1.597 1.206 1.418 1.485 1.574 1.640 1.616 1.394 1.360 1.643 1.728 1.275 states/eV/atom
Calculated ΔH_f (0 K) in order - 0.67 0.55 0.67 2.31 0.16 0.35 0.43 0.60 0.13 1.24 2.89 0.21 0.94 0.55 0.50 7.49 0.48 0.39 0.22 0.17 eV per formula unit